Below is LiTaTl after structural relaxation, with properties calculated at the PBE level.

Unit cell a=7.9040 b=7.7080 c=2.9240 alpha=83.00 beta=75.45 gamma=21.54
Sites, in units of the cell vectors:
1 Tl 0.6613 0.6613 0.3387
2 Li 0.0012 0.0012 0.9988
3 Ta 0.3375 0.3375 0.6625

For the formation energy from the elements, the calculation gives 0.418 eV per atom.


Below is KMgAl4 after structural relaxation, with properties calculated at the PBE level.

Unit cell a=5.6860 b=5.6860 c=5.6860 alpha=60.00 beta=60.00 gamma=60.00
Sites, in units of the cell vectors:
1 Al 0.8745 0.3752 0.3752
2 Mg 0.0000 0.0000 0.0000
3 Al 0.3752 0.8745 0.3752
4 Al 0.3752 0.3752 0.8745
5 Al 0.3752 0.3752 0.3752
6 K 0.7500 0.7500 0.7500

For the formation energy from the elements, the calculation gives 0.159 eV per atom.


Below is PrInSe4 after structural relaxation, with properties calculated at the PBE level.

Unit cell a=5.8737 b=7.5908 c=9.3629 alpha=90.00 beta=90.00 gamma=114.50
Sites, in units of the cell vectors:
1 In 0.2328 0.8239 0.2500
2 Se 0.8944 0.6007 0.4476
3 In 0.7672 0.1761 0.7500
4 Se 0.1056 0.3993 0.9476
5 Pr 0.1100 0.7365 0.7500
6 Se 0.6468 0.8124 0.7500
7 Pr 0.8900 0.2635 0.2500
8 Se 0.3532 0.1876 0.2500
9 Se 0.8944 0.6007 0.0524
10 Se 0.3240 0.1660 0.7500
11 Se 0.1056 0.3993 0.5524
12 Se 0.6760 0.8340 0.2500

For the uncorrected formation energy, the calculation gives -873 meV/atom.


Below is MgCr2Tc after structural relaxation, with properties calculated at the PBE level.

Unit cell a=4.2734 b=2.5717 c=5.0583 alpha=80.06 beta=90.00 gamma=90.00
Sites, in units of the cell vectors:
1 Tc 0.5000 0.7500 0.7500
2 Cr 0.0000 0.9642 0.9985
3 Cr 0.0000 0.5358 0.5015
4 Mg 0.5000 0.2500 0.2500

For the formation energy from the elements, the calculation gives 0.347 eV per atom.


Below is BeHg after structural relaxation, with properties calculated at the PBE level.

Unit cell a=5.1505 b=5.1505 c=5.1505 alpha=90.00 beta=90.00 gamma=90.00
Sites, in units of the cell vectors:
1 Be 0.0000 0.0000 0.0000
2 Be 0.0000 0.5000 0.5000
3 Be 0.5000 0.0000 0.5000
4 Hg 0.0000 0.0000 0.5000
5 Hg 0.0000 0.5000 0.0000
6 Hg 0.5000 0.0000 0.0000
7 Hg 0.5000 0.5000 0.5000
8 Be 0.5000 0.5000 0.0000

For the formation energy from the elements, the calculation gives 0.595 eV per atom.


Below is Al2CuIr2 after structural relaxation, with properties calculated at the PBE level.

Unit cell a=7.0835 b=7.0835 c=2.9291 alpha=90.00 beta=90.00 gamma=90.00
Sites, in units of the cell vectors:
1 Ir 0.6487 0.1487 0.0000
2 Cu 0.0000 0.0000 0.0000
3 Ir 0.1487 0.3513 0.0000
4 Ir 0.8513 0.6487 0.0000
5 Cu 0.5000 0.5000 0.0000
6 Al 0.3503 0.1497 0.5000
7 Al 0.8503 0.3503 0.5000
8 Ir 0.3513 0.8513 0.0000
9 Al 0.6497 0.8503 0.5000
10 Al 0.1497 0.6497 0.5000

For the formation energy from the elements, the calculation gives -0.520 eV per atom.


Below is La2SmCu9 after structural relaxation, with properties calculated at the PBE level.

Unit cell a=5.2506 b=5.2506 c=9.0458 alpha=73.13 beta=73.13 gamma=60.00
Sites, in units of the cell vectors:
1 Cu 0.5000 0.5000 0.5000
2 Cu 0.9140 0.4244 0.2371
3 La 0.1432 0.1432 0.5702
4 La 0.8568 0.8568 0.4298
5 Cu 0.4244 0.9140 0.2371
6 Cu 0.5756 0.5756 0.7629
7 Sm 0.0000 0.0000 0.0000
8 Cu 0.3311 0.3311 0.0066
9 Cu 0.4244 0.4244 0.2371
10 Cu 0.0860 0.5756 0.7629
11 Cu 0.6689 0.6689 0.9934
12 Cu 0.5756 0.0860 0.7629

For the formation energy from the elements, the calculation gives -0.139 eV per atom.


Below is LiCaYF2 after structural relaxation, with properties calculated at the PBE level.

Unit cell a=4.3677 b=6.4375 c=4.3677 alpha=90.00 beta=90.00 gamma=90.00
Sites, in units of the cell vectors:
1 F 0.0000 0.0000 0.5000
2 Ca 0.0000 0.0000 0.0000
3 Li 0.0000 0.5000 0.0000
4 Y 0.5000 0.5000 0.5000
5 F 0.5000 0.0000 0.0000

For the uncorrected formation energy, the calculation gives -1643 meV/atom.


Below is Tb3PrSb3 after structural relaxation, with properties calculated at the PBE level.

Unit cell a=9.3278 b=9.3278 c=9.3278 alpha=90.00 beta=90.00 gamma=90.00
Sites, in units of the cell vectors:
1 Sb 0.0016 0.7434 0.6211
2 Tb 0.6791 0.3209 0.8209
3 Tb 0.0756 0.4244 0.5756
4 Tb 0.3193 0.1807 0.8193
5 Pr 0.4305 0.4305 0.4305
6 Sb 0.4984 0.2566 0.1211
7 Sb 0.5016 0.7566 0.3789
8 Sb 0.1211 0.4984 0.2566
9 Sb 0.7566 0.3789 0.5016
10 Sb 0.8789 0.9984 0.2434
11 Tb 0.8209 0.6791 0.3209
12 Tb 0.5756 0.0756 0.4244
13 Sb 0.7434 0.6211 0.0016
14 Pr 0.0695 0.5695 0.9305
15 Sb 0.2434 0.8789 0.9984
16 Sb 0.6211 0.0016 0.7434
17 Tb 0.1791 0.1791 0.1791
18 Pr 0.9305 0.0695 0.5695
19 Sb 0.9984 0.2434 0.8789
20 Pr 0.5695 0.9305 0.0695
21 Tb 0.8193 0.3193 0.1807
22 Tb 0.4244 0.5756 0.0756
23 Sb 0.3789 0.5016 0.7566
24 Tb 0.9244 0.9244 0.9244
25 Tb 0.1807 0.8193 0.3193
26 Sb 0.2566 0.1211 0.4984
27 Tb 0.6807 0.6807 0.6807
28 Tb 0.3209 0.8209 0.6791

For the uncorrected formation energy, the calculation gives -1018 meV/atom.


Below is Pm2Pr5Tm12 after structural relaxation, with properties calculated at the PBE level.

Unit cell a=7.0731 b=9.8201 c=10.3019 alpha=70.31 beta=90.00 gamma=111.11
Sites, in units of the cell vectors:
1 Tm 0.0240 0.0480 0.7569
2 Tm 0.9109 0.3160 0.1327
3 Tm 0.4051 0.3160 0.1327
4 Pm 0.7205 0.0000 0.0000
5 Tm 0.5854 0.6767 0.5184
6 Tm 0.0913 0.6767 0.5184
7 Pr 0.3176 0.6353 0.2125
8 Pr 0.6824 0.3647 0.7875
9 Pm 0.2795 0.0000 0.0000
10 Tm 0.4962 0.9924 0.6730
11 Pr 0.1892 0.3785 0.8146
12 Tm 0.4146 0.3233 0.4816
13 Pr 0.0000 0.0000 0.5000
14 Tm 0.9087 0.3233 0.4816
15 Tm 0.5038 0.0076 0.3270
16 Tm 0.5949 0.6840 0.8673
17 Tm 0.0891 0.6840 0.8673
18 Pr 0.8108 0.6215 0.1854
19 Tm 0.9760 0.9520 0.2431

For the formation energy from the elements, the calculation gives 0.178 eV per atom.


Below is KTl2Se2 after structural relaxation, with properties calculated at the PBE level.

Unit cell a=5.6361 b=5.6361 c=6.4706 alpha=64.18 beta=64.18 gamma=90.00
Sites, in units of the cell vectors:
1 Tl 0.6513 0.6513 0.6974
2 Tl 0.3487 0.3487 0.3026
3 Se 0.7500 0.2500 0.5000
4 Se 0.2500 0.7500 0.5000
5 K 0.0000 0.0000 0.0000

For the uncorrected formation energy, the calculation gives -504 meV/atom.